[1]
5
Lattice="5.972 0.000 0.000 0.000 6.253 0.000 0.000 0.000 5.972" Properties=species:S:1:pos:R:3 comment="PBE-GGA ScAl2InS, relaxed" total_energy_ev_per_atom=-2.988 dos_at_fermi_per_ev_cell=4.244 mass_density_g_cm3=1.8 space_group=P4/mmm m_tot_mub_per_fu=2.05 pbc="T T T"
Sc 0.000 0.000 0.000
In 0.000 3.127 0.000
Al 0.000 0.000 2.986
Al 2.986 0.000 0.000
S 2.986 3.127 2.986

[2]
10
Lattice="-3.362 0.604 0.145 -1.926 -4.720 0.264 -2.315 -8.998 10.322" Properties=species:S:1:pos:R:3 comment="PBE-GGA Pu2AgO7, relaxed" total_energy_ev_per_atom=-8.562 dos_at_fermi_per_ev_cell=6.146 mass_density_g_cm3=7.0 space_group=P-1 m_tot_mub_per_fu=2.98 pbc="T T T"
O -2.034 -6.106 4.031
O -5.569 -7.008 6.699
O -5.899 -11.519 9.190
O 0.000 0.000 0.000
O -1.704 -1.595 1.541
O -3.685 -3.944 2.716
O -3.918 -9.170 8.014
Ag -3.802 -6.557 5.365
Pu -1.978 -5.435 2.188
Pu -5.625 -7.679 8.542

[3]
3
Lattice="-1.812 -1.405 2.238 1.724 -2.686 -0.290 3.545 3.865 3.002" Properties=species:S:1:pos:R:3 comment="PBE-GGA GdAlCu, relaxed" total_energy_ev_per_atom=-7.544 dos_at_fermi_per_ev_cell=2.471 mass_density_g_cm3=7.2 space_group=I4mm m_tot_mub_per_fu=7.42 pbc="T T T"
Al 0.982 -1.512 2.140
Gd 3.073 -0.426 4.515
Cu 1.808 0.939 2.054

[4]
18
Lattice="5.580 0.000 0.000 -2.790 9.951 0.000 0.000 0.000 10.407" Properties=species:S:1:pos:R:3 comment="PBE-GGA Tb2PmY5Sc, relaxed" total_energy_ev_per_atom=-5.688 dos_at_fermi_per_ev_cell=30.016 mass_density_g_cm3=5.5 space_group=Cmc2_1 m_tot_mub_per_fu=0.00 pbc="T T T"
Tb 2.790 7.747 8.470
Tb 0.000 2.204 3.267
Tb 0.000 2.278 7.652
Tb 2.790 7.673 2.449
Y 2.790 2.551 5.419
Y 0.000 7.401 0.216
Y 0.000 0.351 0.183
Y 2.790 0.383 2.475
Y 0.000 5.932 7.311
Y 0.000 9.568 7.678
Y 0.000 5.447 3.427
Y 2.790 4.019 2.108
Y 2.790 4.504 8.631
Y 2.790 9.600 5.387
Sc 0.000 3.839 0.168
Sc 2.790 6.112 5.371
Pm 2.790 1.762 9.892
Pm 0.000 8.189 4.689

[5]
4
Lattice="4.604 0.000 0.000 2.302 3.987 0.000 2.302 1.329 3.759" Properties=species:S:1:pos:R:3 comment="PBE-GGA TiNbInTc, relaxed" total_energy_ev_per_atom=-7.858 dos_at_fermi_per_ev_cell=4.013 mass_density_g_cm3=8.5 space_group=F-43m m_tot_mub_per_fu=0.53 pbc="T T T"
Tc 6.906 3.987 2.819
Ti 2.302 1.329 0.940
In 4.604 2.658 1.879
Nb 0.000 0.000 0.000

[6]
5
Lattice="6.850 0.000 0.000 0.000 4.929 0.000 0.000 0.000 6.850" Properties=species:S:1:pos:R:3 comment="PBE-GGA Ba2CaSiCl, relaxed" total_energy_ev_per_atom=-2.556 dos_at_fermi_per_ev_cell=4.026 mass_density_g_cm3=2.7 space_group=P4/mmm m_tot_mub_per_fu=0.00 pbc="T T T"
Ca 0.000 0.000 0.000
Ba 3.425 0.000 0.000
Ba 0.000 0.000 3.425
Si 3.425 2.465 3.425
Cl 0.000 2.465 0.000

[7]
8
Lattice="6.306 0.000 0.000 0.000 6.306 0.000 3.153 3.153 2.210" Properties=species:S:1:pos:R:3 comment="PBE-GGA AlNi2C, relaxed" total_energy_ev_per_atom=-5.973 dos_at_fermi_per_ev_cell=3.665 mass_density_g_cm3=5.9 space_group=I-42d m_tot_mub_per_fu=0.00 pbc="T T T"
Al 0.000 0.000 0.000
Al 6.306 3.153 1.105
Ni 4.028 1.576 0.552
Ni 7.882 7.181 1.657
Ni 2.278 4.729 0.552
Ni 4.729 5.431 1.657
C 3.153 6.306 1.105
C 3.153 3.153 0.000

[8]
4
Lattice="-0.237 3.067 1.104 -2.502 0.857 1.920 3.222 -0.622 7.259" Properties=species:S:1:pos:R:3 comment="PBE-GGA Zr2TlH, relaxed" total_energy_ev_per_atom=-5.866 dos_at_fermi_per_ev_cell=3.557 mass_density_g_cm3=9.0 space_group=R-3m m_tot_mub_per_fu=0.00 pbc="T T T"
Zr -0.200 0.975 2.085
Zr 0.683 2.327 8.197
Tl 0.242 1.651 5.141
H 0.000 0.000 0.000